Here is a relaxed CdCuPt crystal from Alexandria. Energies are from PBE.

```
CdCuPt
1.0
4.059 0.000 0.000
-2.019 4.536 0.000
-0.019 -2.343 5.204
Cd Cu Pt
2 2 2
Direct
0.173 0.346 0.107 Cd
0.827 0.654 0.893 Cd
0.152 0.305 0.581 Cu
0.848 0.695 0.419 Cu
0.488 0.975 0.732 Pt
0.512 0.025 0.268 Pt
```

Calculated values
* density of states at the Fermi level: 2.2 states/eV per cell
* energy of formation from the pure elements: -0.1738 eV per atom


Here is a relaxed Sr2Al4Ag3Ge crystal from Alexandria. Energies are from PBE.

```
Sr2Al4Ag3Ge
1.0
4.437 0.000 0.000
0.000 4.437 0.000
0.000 0.000 11.250
Sr Al Ag Ge
2 4 3 1
Direct
0.000 0.500 0.248 Sr
0.500 0.000 0.752 Sr
0.000 0.000 0.500 Al
0.000 0.500 0.867 Al
0.500 0.000 0.133 Al
0.500 0.500 0.500 Al
0.000 0.000 0.000 Ag
0.000 0.500 0.634 Ag
0.500 0.000 0.366 Ag
0.500 0.500 0.000 Ge
```

Calculated values
* density of states at the Fermi level: 5.8 states/eV per cell
* energy of formation from the pure elements: -0.2734 eV per atom


Here is a relaxed Tm3TlHg6 crystal from Alexandria. Energies are from PBE.

```
Tm3TlHg6
1.0
9.975 0.000 0.000
0.000 4.878 0.000
-3.944 0.000 10.235
Tm Tl Hg
6 2 12
Direct
0.032 0.250 0.236 Tm
0.284 0.250 0.056 Tm
0.339 0.750 0.342 Tm
0.661 0.250 0.658 Tm
0.716 0.750 0.944 Tm
0.968 0.750 0.764 Tm
0.121 0.750 0.534 Tl
0.879 0.250 0.466 Tl
0.087 0.750 0.080 Hg
0.138 0.250 0.743 Hg
0.301 0.250 0.494 Hg
0.311 0.750 0.885 Hg
0.476 0.750 0.662 Hg
0.482 0.250 0.840 Hg
0.518 0.750 0.160 Hg
0.524 0.250 0.338 Hg
0.689 0.250 0.115 Hg
0.699 0.750 0.506 Hg
0.862 0.750 0.257 Hg
0.913 0.250 0.920 Hg
```

Calculated values
* density of states at the Fermi level: 9.1 states/eV per cell
* energy of formation from the pure elements: -0.2963 eV per atom